Below is HgGeTe2C after structural relaxation, with properties calculated at the PBEsol level.

Output
Space group: No. 123
N(E_F) in states/eV per cell: 2.4
Formation energy (no corrections) in eV per formula unit: 4.60
Crystal system: tetragonal

Cell: 4.4278 4.9067 4.9067 Å, 90.00 90.00 90.00°
With the nearest neighbours (Å) after each atom.
Fractional positions:
Ge 0.5000 0.5000 0.5000  8 Te 3.30, 4 Hg 3.47
Hg 0.5000 0.0000 0.0000  2 C 2.21
Te 0.0000 0.5000 0.0000  2 C 2.45
C 0.0000 0.0000 0.0000  2 Hg 2.21, 4 Te 2.45
Te 0.0000 0.0000 0.5000  2 C 2.45


Below is AlCdSbTe after structural relaxation, with properties calculated at the PBEsol level.

Output
Space group: No. 160
Formation energy (no corrections) in eV per formula unit: -0.95
Crystal system: trigonal

Cell: 4.4416 4.4416 7.7934 Å, 73.44 73.44 60.00°
With the nearest neighbours (Å) after each atom.
Fractional positions:
Cd 0.0036 0.0036 0.9891  1 Sb 2.76, 3 Te 2.80
Al 0.4987 0.4987 0.5039  1 Te 2.65, 3 Sb 2.69
Sb 0.1288 0.1288 0.6137  3 Al 2.69, 1 Cd 2.76
Te 0.6189 0.6189 0.1433  1 Al 2.65, 3 Cd 2.80


Below is DyC2 after structural relaxation, with properties calculated at the PBEsol level.

Output
Space group: No. 139
Uncorrected energy in Ry per atom: -0.6096
N(E_F) in states/eV per cell: 0.7
Crystal system: tetragonal

Cell: 3.6120 3.9991 3.6120 Å, 116.85 90.00 116.85°
With the nearest neighbours (Å) after each atom.
Fractional positions:
Dy 0.0000 0.0000 0.0000  10 C 2.43-2.64
C 0.6058 0.2116 0.6058  1 C 1.30
C 0.3942 0.7884 0.3942  1 C 1.30


Below is Mo2RhW after structural relaxation, with properties calculated at the PBEsol level.

Output
Space group: No. 119
N(E_F) in states/eV per cell: 4.2
Energy above the lowest structure with this stoichiometry in eV per formula unit: 0.12
Crystal system: tetragonal

Cell: 3.8846 3.8846 4.8255 Å, 113.73 113.73 90.00°
With the nearest neighbours (Å) after each atom.
Fractional positions:
Rh 0.5000 0.5000 0.0000  8 Mo 2.75-2.78, 4 W 2.78
W 0.2500 0.7500 0.5000  8 Mo 2.75-2.78, 4 Rh 2.78
Mo 0.0000 0.0000 0.0000  4 Rh 2.75, 4 W 2.78, 4 Mo 2.78
Mo 0.7500 0.2500 0.5000  4 W 2.75, 4 Rh 2.78, 4 Mo 2.78


Below is RbAg3O after structural relaxation, with properties calculated at the PBEsol level.

Output
Space group: No. 221
N(E_F) in states/eV per cell: 7.9
Formation energy (no corrections) in eV per formula unit: 9.45
Crystal system: cubic

Cell: 5.8352 5.8352 5.8352 Å, 90.00 90.00 90.00°
With the nearest neighbours (Å) after each atom.
Fractional positions:
O 0.5000 0.5000 0.5000  12 Ag 4.13
Ag 0.0000 0.0000 0.5000  2 Rb 2.92
Ag 0.0000 0.5000 0.0000  2 Rb 2.92
Ag 0.5000 0.0000 0.0000  2 Rb 2.92
Rb 0.0000 0.0000 0.0000  6 Ag 2.92


Below is LaSi3Rh after structural relaxation, with properties calculated at the PBEsol level.

Output
Space group: No. 107
N(E_F) in states/eV per cell: 1.8
Formation energy (no corrections) in eV per formula unit: -4.56
Crystal system: tetragonal

Cell: 4.2373 4.2373 5.7404 Å, 111.66 111.66 90.00°
With the nearest neighbours (Å) after each atom.
Fractional positions:
Si 0.2379 0.7379 0.4758  2 Rh 2.37, 2 Si 2.58
Rh 0.3461 0.3461 0.6922  5 Si 2.37
Si 0.5878 0.5878 0.1755  1 Rh 2.37, 4 Si 2.58
La 0.0003 0.0003 0.0006  12 Si 3.12-3.33, 5 Rh 3.36-3.39
Si 0.7379 0.2379 0.4758  2 Rh 2.37, 2 Si 2.58